# HgSb2TePt

A geometry-optimized HgSb2TePt structure (PBE, Alexandria).

```
HgSb2TePt
1.0
5.249 0.000 0.000
0.000 5.249 0.000
0.000 0.000 5.583
Hg Sb Te Pt
1 2 1 1
direct
0.000 0.000 0.000 Hg
0.000 0.500 0.500 Sb
0.500 0.000 0.500 Sb
0.500 0.500 0.000 Te
0.500 0.500 0.500 Pt
```

Summary:
total magnetic moment = 0.000 μB per atom
ΔE_f (raw) = 0.350 eV/atom
raw total energy = -3.1956 eV per atom
offset from the most stable computed form = 0.0 meV per atom
N(E_F) = 5.8 states/eV per cell
volume = 30.771 Å³/atom



# KZrCu3

A geometry-optimized KZrCu3 structure (PBE, Alexandria).

```
KZrCu3
1.0
5.134 0.000 0.000
0.000 5.134 0.000
0.000 0.000 5.134
K Zr Cu
1 1 3
direct
0.000 0.000 0.000 K
0.500 0.500 0.500 Zr
0.000 0.500 0.500 Cu
0.500 0.000 0.500 Cu
0.500 0.500 0.000 Cu
```

Summary:
total magnetic moment = 0.000 μB per atom
raw total energy = -3.5420 eV per atom
offset from the most stable computed form = 0.0 meV per atom
N(E_F) = 4.8 states/eV per cell
volume = 27.064 Å³/atom
energy relative to the elements = 0.845 eV/atom



# PbI2

A geometry-optimized PbI2 structure (PBE, Alexandria).

```
PbI2
1.0
4.654 0.000 0.000
-2.327 4.030 0.000
0.000 0.000 52.500
Pb I
7 14
direct
0.000 0.000 0.000 Pb
0.000 0.000 0.142 Pb
0.000 0.000 0.285 Pb
0.000 0.000 0.572 Pb
0.000 0.000 0.714 Pb
0.000 0.000 0.857 Pb
0.667 0.333 0.429 Pb
0.000 0.000 0.393 I
0.333 0.667 0.036 I
0.333 0.667 0.178 I
0.333 0.667 0.321 I
0.333 0.667 0.464 I
0.333 0.667 0.607 I
0.333 0.667 0.750 I
0.333 0.667 0.893 I
0.667 0.333 0.107 I
0.667 0.333 0.250 I
0.667 0.333 0.536 I
0.667 0.333 0.679 I
0.667 0.333 0.822 I
0.667 0.333 0.964 I
```

Summary:
total magnetic moment = 0.000 μB per atom
ΔE_f (raw) = -0.650 eV/atom
raw total energy = -2.9194 eV per atom
N(E_F) = 0.0 states/eV per cell
volume = 46.890 Å³/atom



# LaErGa2Pd5

A geometry-optimized LaErGa2Pd5 structure (PBE, Alexandria).

```
LaErGa2Pd5
1.0
4.271 0.000 0.000
0.000 4.271 0.000
0.000 0.000 9.266
La Er Ga Pd
1 1 2 5
direct
0.000 0.000 0.000 La
0.000 0.000 0.500 Er
0.500 0.500 0.368 Ga
0.500 0.500 0.632 Ga
0.000 0.500 0.231 Pd
0.000 0.500 0.769 Pd
0.500 0.000 0.231 Pd
0.500 0.000 0.769 Pd
0.500 0.500 0.000 Pd
```

Summary:
total magnetic moment = 0.000 μB per atom
raw total energy = -5.3866 eV per atom
N(E_F) = 5.7 states/eV per cell
volume = 18.777 Å³/atom
energy relative to the elements = -0.775 eV/atom



# YSeCl

A geometry-optimized YSeCl structure (PBE, Alexandria).

```
YSeCl
1.0
4.094 0.000 0.000
-2.047 3.545 0.000
0.000 0.000 6.693
Y Se Cl
1 1 1
direct
0.000 0.000 0.000 Y
0.667 0.333 0.784 Se
0.333 0.667 0.236 Cl
```

Summary:
total magnetic moment = 0.000 μB per atom
ΔE_f (raw) = -1.993 eV/atom
raw total energy = -5.9246 eV per atom
N(E_F) = 0.0 states/eV per cell
volume = 32.382 Å³/atom



# La5PrSmEr2

A geometry-optimized La5PrSmEr2 structure (PBE, Alexandria).

```
La5PrSmEr2
1.0
2.895 -10.049 0.000
2.895 10.049 0.000
0.000 0.000 11.078
La Pr Sm Er
10 2 2 4
direct
0.027 0.973 0.500 La
0.101 0.899 0.802 La
0.227 0.773 0.562 La
0.281 0.719 0.867 La
0.467 0.533 0.781 La
0.533 0.467 0.281 La
0.719 0.281 0.367 La
0.773 0.227 0.062 La
0.899 0.101 0.302 La
0.973 0.027 0.000 La
0.137 0.863 0.190 Pr
0.863 0.137 0.690 Pr
0.295 0.705 0.257 Sm
0.705 0.295 0.757 Sm
0.411 0.589 0.075 Er
0.411 0.589 0.494 Er
0.589 0.411 0.575 Er
0.589 0.411 0.994 Er
```

Summary:
total magnetic moment = 0.000 μB per atom
raw total energy = -4.6744 eV per atom
N(E_F) = 25.2 states/eV per cell
volume = 35.807 Å³/atom
energy relative to the elements = 0.132 eV/atom